1.
A plane-wave DFT calculation with PBE-GGA was carried out for Tm5MgZn4 after structural relaxation.

Geometry as POSCAR:
```
Tm5MgZn4
1.0
3.525 0.000 0.000
0.000 3.525 0.000
0.000 0.000 18.325
Tm Mg Zn
5 1 4
direct
0.000 0.000 0.000
0.000 0.000 0.191
0.000 0.000 0.381
0.000 0.000 0.619
0.000 0.000 0.809
0.500 0.500 0.500
0.500 0.500 0.096
0.500 0.500 0.289
0.500 0.500 0.711
0.500 0.500 0.904
```

Computed properties:
energy of formation = -293 meV/atom

***

2.
A plane-wave DFT calculation with PBE-GGA was carried out for MgSiSnHS after structural relaxation.

Geometry as POSCAR:
```
MgSiSnHS
1.0
4.189 0.000 0.000
2.076 3.660 0.000
0.003 1.513 6.702
Mg Si Sn H S
1 1 1 1 1
direct
0.000 0.000 0.000
0.277 0.424 0.632
0.912 0.153 0.490
0.301 0.381 0.858
0.686 0.624 0.097
```

Computed properties:
VASP energy = -19.471 eV/cell

***

3.
A plane-wave DFT calculation with PBE-GGA was carried out for BaNaTcP after structural relaxation.

Geometry as POSCAR:
```
BaNaTcP
1.0
4.226 0.000 0.000
0.000 4.226 0.000
0.000 0.000 12.918
Ba Na Tc P
2 2 2 2
direct
0.250 0.250 0.212
0.750 0.750 0.788
0.250 0.750 0.500
0.750 0.250 0.500
0.250 0.750 0.000
0.750 0.250 0.000
0.250 0.250 0.914
0.750 0.750 0.086
```

Computed properties:
energy of formation = -465 meV/atom

***

4.
A plane-wave DFT calculation with PBE-GGA was carried out for Ac3OsPb after structural relaxation.

Geometry as POSCAR:
```
Ac3OsPb
1.0
9.269 0.000 0.000
0.000 4.694 0.000
0.000 0.000 16.265
Ac Os Pb
12 4 4
direct
0.021 0.250 0.108
0.159 0.250 0.503
0.191 0.750 0.289
0.309 0.250 0.789
0.341 0.750 0.003
0.479 0.750 0.608
0.521 0.250 0.392
0.659 0.250 0.997
0.691 0.750 0.211
0.809 0.250 0.711
0.841 0.750 0.497
0.979 0.750 0.892
0.169 0.250 0.941
0.331 0.750 0.441
0.669 0.250 0.559
0.831 0.750 0.059
0.092 0.750 0.672
0.408 0.250 0.172
0.592 0.750 0.828
0.908 0.250 0.328
```

Computed properties:
energy of formation = -271 meV/atom

***

5.
A plane-wave DFT calculation with PBE-GGA was carried out for As3RuBr after structural relaxation.

Geometry as POSCAR:
```
As3RuBr
1.0
4.919 0.000 0.000
0.000 4.919 0.000
0.000 0.000 4.919
As Ru Br
3 1 1
direct
0.000 0.000 0.500
0.000 0.500 0.000
0.500 0.000 0.000
0.500 0.500 0.500
0.000 0.000 0.000
```

Computed properties:
uncorrected formation energy = 40.1 kcal/mol of atoms

***

6.
A plane-wave DFT calculation with PBE-GGA was carried out for TiFe2W4 after structural relaxation.

Geometry as POSCAR:
```
TiFe2W4
1.0
-2.239 2.239 6.162
2.239 -2.239 6.162
2.239 2.239 -6.162
Ti Fe W
1 2 4
direct
0.000 0.000 0.000
0.390 0.390 0.000
0.610 0.610 0.000
0.000 0.500 0.500
0.207 0.207 0.000
0.500 0.000 0.500
0.793 0.793 0.000
```

Computed properties:
energy of formation = 1719 meV/atom